No. 1
# CaNbAl2 (PBE, optimized geometry)
data_CaNbAl2
_chemical_formula_sum 'Ca1 Nb1 Al2'
_cell_length_a 3.462
_cell_length_b 3.462
_cell_length_c 6.833
_cell_angle_alpha 90.00
_cell_angle_beta 90.00
_cell_angle_gamma 90.00
_symmetry_space_group_name_H-M 'P 1'
_symmetry_Int_Tables_number 1
_symmetry_space_group_name_Hall 'P 1'
loop_
_atom_site_label
_atom_site_fract_x
_atom_site_fract_y
_atom_site_fract_z
Nb1 0.500 0.500 0.000
Ca1 0.500 0.500 0.500
Al1 0.000 0.000 0.802
Al2 0.000 0.000 0.198
# Theoretical density ... 3.79 g cm⁻³
# ΔH_f (0 K) ... -136 meV per atom
# Polymorph energy (0 for the lowest one) ... 0.0 kJ/mol of formula units
# Size of the total moment ... 0.00 μB per formula unit
# Fermi-level density of states ... 3.68 states/eV/f.u.

---

No. 2
# Pm5PdS4 (PBE, optimized geometry)
data_Pm5PdS4
_chemical_formula_sum 'Pm5 Pd1 S4'
_cell_length_a 4.009
_cell_length_b 7.120
_cell_length_c 9.116
_cell_angle_alpha 75.29
_cell_angle_beta 77.30
_cell_angle_gamma 73.65
_symmetry_space_group_name_H-M 'P 1'
_symmetry_Int_Tables_number 1
_symmetry_space_group_name_Hall 'P 1'
loop_
_atom_site_label
_atom_site_fract_x
_atom_site_fract_y
_atom_site_fract_z
Pm1 0.204 0.900 0.692
Pm2 0.796 0.100 0.308
Pm3 0.398 0.306 0.898
Pm4 0.000 0.500 0.500
Pm5 0.602 0.694 0.102
Pd1 0.000 0.000 0.000
S1 0.599 0.203 0.600
S2 0.201 0.395 0.202
S3 0.799 0.605 0.798
S4 0.401 0.797 0.400
# ΔE_f (raw) ... -1.759 eV per atom
# Theoretical density ... 6.68 g cm⁻³
# Size of the total moment ... 0.00 μB per formula unit
# Fermi-level density of states ... 4.69 states/eV/f.u.

---

No. 3
# BPH (PBE, optimized geometry)
data_BPH
_chemical_formula_sum 'B1 P1 H1'
_cell_length_a 3.459
_cell_length_b 3.459
_cell_length_c 2.775
_cell_angle_alpha 90.00
_cell_angle_beta 90.00
_cell_angle_gamma 120.00
_symmetry_space_group_name_H-M 'P 1'
_symmetry_Int_Tables_number 1
_symmetry_space_group_name_Hall 'P 1'
loop_
_atom_site_label
_atom_site_fract_x
_atom_site_fract_y
_atom_site_fract_z
B1 0.000 0.000 0.500
P1 0.333 0.667 0.500
H1 0.000 0.000 0.000
# Theoretical density ... 2.47 g cm⁻³
# Polymorph energy (0 for the lowest one) ... 99.6 kJ/mol of formula units
# Size of the total moment ... 0.00 μB per formula unit
# Fermi-level density of states ... 0.84 states/eV/f.u.

---

No. 4
# Nd5Dy2Y12 (PBE, optimized geometry)
data_Nd5Dy2Y12
_chemical_formula_sum 'Nd5 Dy2 Y12'
_cell_length_a 9.215
_cell_length_b 10.049
_cell_length_c 8.725
_cell_angle_alpha 67.05
_cell_angle_beta 90.00
_cell_angle_gamma 117.29
_symmetry_space_group_name_H-M 'P 1'
_symmetry_Int_Tables_number 1
_symmetry_space_group_name_Hall 'P 1'
loop_
_atom_site_label
_atom_site_fract_x
_atom_site_fract_y
_atom_site_fract_z
Nd1 0.237 0.474 0.704
Nd2 0.287 0.574 0.226
Nd3 0.000 0.000 0.500
Nd4 0.713 0.426 0.774
Nd5 0.763 0.526 0.296
Dy1 0.672 0.000 0.000
Dy2 0.328 0.000 0.000
Y1 0.954 0.909 0.182
Y2 0.038 0.709 0.910
Y3 0.671 0.709 0.910
Y4 0.150 0.746 0.456
Y5 0.596 0.746 0.456
Y6 0.437 0.874 0.721
Y7 0.563 0.126 0.279
Y8 0.850 0.254 0.544
Y9 0.404 0.254 0.544
Y10 0.962 0.291 0.090
Y11 0.329 0.291 0.090
Y12 0.046 0.091 0.818
# Theoretical density ... 5.44 g cm⁻³
# ΔH_f (0 K) ... 211 meV per atom
# Polymorph energy (0 for the lowest one) ... 232.1 kJ/mol of formula units
# Size of the total moment ... 0.00 μB per formula unit
# Fermi-level density of states ... 29.41 states/eV/f.u.

---

No. 5
# Ba2CaP4H6O16 (PBE, optimized geometry)
data_Ba2CaP4H6O16
_chemical_formula_sum 'Ba4 Ca2 P8 H12 O32'
_cell_length_a 5.554
_cell_length_b 10.474
_cell_length_c 12.403
_cell_angle_alpha 90.00
_cell_angle_beta 100.43
_cell_angle_gamma 90.00
_symmetry_space_group_name_H-M 'P 1'
_symmetry_Int_Tables_number 1
_symmetry_space_group_name_Hall 'P 1'
loop_
_atom_site_label
_atom_site_fract_x
_atom_site_fract_y
_atom_site_fract_z
Ba1 0.144 0.659 0.826
Ba2 0.144 0.841 0.326
Ba3 0.856 0.159 0.674
Ba4 0.856 0.341 0.174
Ca1 0.000 0.500 0.500
Ca2 0.000 0.000 0.000
P1 0.234 0.302 0.944
P2 0.234 0.198 0.444
P3 0.412 0.993 0.797
P4 0.412 0.507 0.297
P5 0.588 0.493 0.703
P6 0.588 0.007 0.203
P7 0.766 0.802 0.556
P8 0.766 0.698 0.056
H1 0.295 0.041 0.564
H2 0.382 0.329 0.758
H3 0.560 0.181 0.935
H4 0.440 0.681 0.565
H5 0.295 0.459 0.064
H6 0.618 0.829 0.742
H7 0.382 0.171 0.258
H8 0.705 0.541 0.936
H9 0.560 0.319 0.435
H10 0.440 0.819 0.065
H11 0.618 0.671 0.242
H12 0.705 0.959 0.436
O1 0.163 0.302 0.819
O2 0.179 0.992 0.846
O3 0.240 0.448 0.981
O4 0.072 0.275 0.507
O5 0.163 0.198 0.319
O6 0.179 0.508 0.346
O7 0.240 0.052 0.481
O8 0.072 0.225 0.007
O9 0.375 0.061 0.685
O10 0.366 0.556 0.627
O11 0.515 0.259 0.978
O12 0.473 0.846 0.781
O13 0.527 0.346 0.719
O14 0.485 0.759 0.522
O15 0.634 0.056 0.873
O16 0.625 0.561 0.815
O17 0.375 0.439 0.185
O18 0.366 0.944 0.127
O19 0.515 0.241 0.478
O20 0.473 0.654 0.281
O21 0.527 0.154 0.219
O22 0.485 0.741 0.022
O23 0.634 0.444 0.373
O24 0.625 0.939 0.315
O25 0.928 0.775 0.993
O26 0.760 0.948 0.519
O27 0.821 0.492 0.654
O28 0.837 0.802 0.681
O29 0.928 0.725 0.493
O30 0.760 0.552 0.019
O31 0.821 0.008 0.154
O32 0.837 0.698 0.181
# Theoretical density ... 3.28 g cm⁻³
# Energy ... -380.6 eV for the cell shown
# Size of the total moment ... 0.00 μB per formula unit
# Fermi-level density of states ... 0.00 states/eV/f.u.

---

No. 6
# Cr2IrSe (PBE, optimized geometry)
data_Cr2IrSe
_chemical_formula_sum 'Cr2 Ir1 Se1'
_cell_length_a 4.859
_cell_length_b 4.859
_cell_length_c 4.859
_cell_angle_alpha 134.86
_cell_angle_beta 134.86
_cell_angle_gamma 65.74
_symmetry_space_group_name_H-M 'P 1'
_symmetry_Int_Tables_number 1
_symmetry_space_group_name_Hall 'P 1'
loop_
_atom_site_label
_atom_site_fract_x
_atom_site_fract_y
_atom_site_fract_z
Cr1 0.000 0.000 0.000
Cr2 0.250 0.750 0.500
Ir1 0.500 0.500 0.000
Se1 0.750 0.250 0.500
# ΔE_f (raw) ... 0.349 eV per atom
# Theoretical density ... 10.98 g cm⁻³
# Size of the total moment ... 4.11 μB per formula unit
# Fermi-level density of states ... 3.65 states/eV/f.u.

---

No. 7
# LaIn5Ir (PBE, optimized geometry)
data_LaIn5Ir
_chemical_formula_sum 'La1 In5 Ir1'
_cell_length_a 4.745
_cell_length_b 4.745
_cell_length_c 7.672
_cell_angle_alpha 90.00
_cell_angle_beta 90.00
_cell_angle_gamma 90.00
_symmetry_space_group_name_H-M 'P 1'
_symmetry_Int_Tables_number 1
_symmetry_space_group_name_Hall 'P 1'
loop_
_atom_site_label
_atom_site_fract_x
_atom_site_fract_y
_atom_site_fract_z
In1 0.500 0.500 0.000
In2 0.000 0.500 0.306
In3 0.500 0.000 0.306
In4 0.000 0.500 0.694
In5 0.500 0.000 0.694
Ir1 0.000 0.000 0.500
La1 0.000 0.000 0.000
# Theoretical density ... 8.70 g cm⁻³
# ΔH_f (0 K) ... -411 meV per atom
# Size of the total moment ... 0.00 μB per formula unit
# Fermi-level density of states ... 2.66 states/eV/f.u.

---

No. 8
# Sr3SbS (PBE, optimized geometry)
data_Sr3SbS
_chemical_formula_sum 'Sr3 Sb1 S1'
_cell_length_a 5.640
_cell_length_b 5.640
_cell_length_c 5.640
_cell_angle_alpha 90.00
_cell_angle_beta 90.00
_cell_angle_gamma 90.00
_symmetry_space_group_name_H-M 'P 1'
_symmetry_Int_Tables_number 1
_symmetry_space_group_name_Hall 'P 1'
loop_
_atom_site_label
_atom_site_fract_x
_atom_site_fract_y
_atom_site_fract_z
Sb1 0.500 0.500 0.500
S1 0.000 0.000 0.000
Sr1 0.000 0.500 0.000
Sr2 0.000 0.000 0.500
Sr3 0.500 0.000 0.000
# ΔE_f (raw) ... -1.104 eV per atom
# Theoretical density ... 3.86 g cm⁻³
# Polymorph energy (0 for the lowest one) ... 0.0 kJ/mol of formula units
# Size of the total moment ... 0.00 μB per formula unit
# Fermi-level density of states ... 4.13 states/eV/f.u.

---

No. 9
# PrY14Er (PBE, optimized geometry)
data_PrY14Er
_chemical_formula_sum 'Pr1 Y14 Er1'
_cell_length_a 7.156
_cell_length_b 7.156
_cell_length_c 10.088
_cell_angle_alpha 90.00
_cell_angle_beta 90.00
_cell_angle_gamma 90.01
_symmetry_space_group_name_H-M 'P 1'
_symmetry_Int_Tables_number 1
_symmetry_space_group_name_Hall 'P 1'
loop_
_atom_site_label
_atom_site_fract_x
_atom_site_fract_y
_atom_site_fract_z
Pr1 0.875 0.125 0.000
Y1 0.375 0.625 0.500
Y2 0.875 0.125 0.500
Y3 0.875 0.625 0.000
Y4 0.875 0.625 0.500
Y5 0.375 0.125 0.000
Y6 0.375 0.125 0.500
Y7 0.624 0.874 0.750
Y8 0.624 0.874 0.250
Y9 0.126 0.376 0.750
Y10 0.126 0.376 0.250
Y11 0.126 0.874 0.750
Y12 0.126 0.874 0.250
Y13 0.624 0.376 0.750
Y14 0.624 0.376 0.250
Er1 0.375 0.625 0.000
# Theoretical density ... 4.99 g cm⁻³
# ΔH_f (0 K) ... 21 meV per atom
# Size of the total moment ... 0.00 μB per formula unit
# Fermi-level density of states ... 21.49 states/eV/f.u.

---

No. 10
# Tm8ThSc4 (PBE, optimized geometry)
data_Tm8ThSc4
_chemical_formula_sum 'Tm8 Th1 Sc4'
_cell_length_a 6.558
_cell_length_b 6.558
_cell_length_c 11.180
_cell_angle_alpha 90.00
_cell_angle_beta 107.05
_cell_angle_gamma 120.00
_symmetry_space_group_name_H-M 'P 1'
_symmetry_Int_Tables_number 1
_symmetry_space_group_name_Hall 'P 1'
loop_
_atom_site_label
_atom_site_fract_x
_atom_site_fract_y
_atom_site_fract_z
Tm1 0.607 0.804 0.411
Tm2 0.393 0.196 0.589
Tm3 0.499 0.249 0.255
Tm4 0.995 0.244 0.745
Tm5 0.501 0.751 0.745
Tm6 0.995 0.751 0.745
Tm7 0.005 0.249 0.255
Tm8 0.005 0.756 0.255
Th1 0.000 0.500 0.500
Sc1 0.000 0.000 0.000
Sc2 0.000 0.500 0.000
Sc3 0.500 0.500 0.000
Sc4 0.500 0.000 0.000
# Theoretical density ... 7.47 g cm⁻³
# ΔH_f (0 K) ... 296 meV per atom
# Size of the total moment ... 0.00 μB per formula unit
# Fermi-level density of states ... 19.74 states/eV/f.u.

---

No. 11
# TaNb2HRu (PBE, optimized geometry)
data_TaNb2HRu
_chemical_formula_sum 'Ta1 Nb2 H1 Ru1'
_cell_length_a 3.952
_cell_length_b 3.952
_cell_length_c 4.585
_cell_angle_alpha 90.00
_cell_angle_beta 90.00
_cell_angle_gamma 90.00
_symmetry_space_group_name_H-M 'P 1'
_symmetry_Int_Tables_number 1
_symmetry_space_group_name_Hall 'P 1'
loop_
_atom_site_label
_atom_site_fract_x
_atom_site_fract_y
_atom_site_fract_z
Ru1 0.500 0.500 0.500
Nb1 0.000 0.500 0.000
Nb2 0.500 0.000 0.000
H1 0.000 0.000 0.000
Ta1 0.000 0.000 0.500
# Theoretical density ... 10.87 g cm⁻³
# Polymorph energy (0 for the lowest one) ... 46.5 kJ/mol of formula units
# Size of the total moment ... 0.00 μB per formula unit
# Fermi-level density of states ... 4.39 states/eV/f.u.

---

No. 12
# Rb2BaNp2S7 (PBE, optimized geometry)
data_Rb2BaNp2S7
_chemical_formula_sum 'Rb2 Ba1 Np2 S7'
_cell_length_a 5.199
_cell_length_b 5.199
_cell_length_c 13.971
_cell_angle_alpha 79.27
_cell_angle_beta 79.27
_cell_angle_gamma 89.99
_symmetry_space_group_name_H-M 'P 1'
_symmetry_Int_Tables_number 1
_symmetry_space_group_name_Hall 'P 1'
loop_
_atom_site_label
_atom_site_fract_x
_atom_site_fract_y
_atom_site_fract_z
Rb1 0.815 0.815 0.371
Rb2 0.185 0.185 0.629
Ba1 0.000 0.000 0.000
Np1 0.596 0.596 0.807
Np2 0.404 0.404 0.193
S1 0.500 0.500 0.000
S2 0.312 0.312 0.375
S3 0.688 0.688 0.625
S4 0.911 0.411 0.177
S5 0.411 0.911 0.177
S6 0.589 0.089 0.823
S7 0.089 0.589 0.823
# ΔE_f (raw) ... -1.370 eV per atom
# Theoretical density ... 4.59 g cm⁻³
# Size of the total moment ... 4.00 μB per formula unit
# Fermi-level density of states ... 13.92 states/eV/f.u.

---

No. 13
# BeTeN2F (PBE, optimized geometry)
data_BeTeN2F
_chemical_formula_sum 'Be1 Te1 N2 F1'
_cell_length_a 3.440
_cell_length_b 3.440
_cell_length_c 5.100
_cell_angle_alpha 90.00
_cell_angle_beta 90.00
_cell_angle_gamma 90.00
_symmetry_space_group_name_H-M 'P 1'
_symmetry_Int_Tables_number 1
_symmetry_space_group_name_Hall 'P 1'
loop_
_atom_site_label
_atom_site_fract_x
_atom_site_fract_y
_atom_site_fract_z
Be1 0.000 0.000 0.000
N1 0.000 0.500 0.000
N2 0.500 0.000 0.000
Te1 0.000 0.000 0.500
F1 0.500 0.500 0.500
# ΔE_f (raw) ... 0.781 eV per atom
# Theoretical density ... 5.05 g cm⁻³
# Polymorph energy (0 for the lowest one) ... 283.0 kJ/mol of formula units
# Size of the total moment ... 0.00 μB per formula unit
# Fermi-level density of states ... 2.61 states/eV/f.u.

---

No. 14
# Dy3Be2B9 (PBE, optimized geometry)
data_Dy3Be2B9
_chemical_formula_sum 'Dy3 Be2 B9'
_cell_length_a 3.169
_cell_length_b 7.001
_cell_length_c 7.001
_cell_angle_alpha 77.07
_cell_angle_beta 76.92
_cell_angle_gamma 76.92
_symmetry_space_group_name_H-M 'P 1'
_symmetry_Int_Tables_number 1
_symmetry_space_group_name_Hall 'P 1'
loop_
_atom_site_label
_atom_site_fract_x
_atom_site_fract_y
_atom_site_fract_z
Dy1 0.000 0.000 0.000
Dy2 0.697 0.303 0.303
Dy3 0.303 0.697 0.697
Be1 0.500 0.293 0.707
Be2 0.500 0.707 0.293
B1 0.000 0.500 0.500
B2 0.662 0.024 0.652
B3 0.338 0.976 0.348
B4 0.662 0.652 0.024
B5 0.338 0.348 0.976
B6 0.855 0.883 0.407
B7 0.145 0.117 0.593
B8 0.855 0.407 0.883
B9 0.145 0.593 0.117
# Theoretical density ... 6.91 g cm⁻³
# ΔH_f (0 K) ... -50 meV per atom
# Size of the total moment ... 0.00 μB per formula unit
# Fermi-level density of states ... 3.19 states/eV/f.u.

---

No. 15
# LiGdGe (PBE, optimized geometry)
data_LiGdGe
_chemical_formula_sum 'Li3 Gd3 Ge3'
_cell_length_a 7.138
_cell_length_b 7.138
_cell_length_c 4.310
_cell_angle_alpha 90.00
_cell_angle_beta 90.00
_cell_angle_gamma 120.00
_symmetry_space_group_name_H-M 'P 1'
_symmetry_Int_Tables_number 1
_symmetry_space_group_name_Hall 'P 1'
loop_
_atom_site_label
_atom_site_fract_x
_atom_site_fract_y
_atom_site_fract_z
Li1 0.233 0.000 0.500
Li2 0.767 0.767 0.500
Li3 0.000 0.233 0.500
Gd1 0.000 0.576 0.000
Gd2 0.576 0.000 0.000
Gd3 0.424 0.424 0.000
Ge1 0.333 0.667 0.500
Ge2 0.667 0.333 0.500
Ge3 0.000 0.000 0.000
# Theoretical density ... 6.20 g cm⁻³
# ΔH_f (0 K) ... -707 meV per atom
# Polymorph energy (0 for the lowest one) ... 0.0 kJ/mol of formula units
# Size of the total moment ... 7.00 μB per formula unit
# Fermi-level density of states ... 0.35 states/eV/f.u.

---

No. 16
# Tc2MoWN (PBE, optimized geometry)
data_Tc2MoWN
_chemical_formula_sum 'Tc2 Mo1 W1 N1'
_cell_length_a 4.066
_cell_length_b 4.066
_cell_length_c 4.108
_cell_angle_alpha 90.00
_cell_angle_beta 90.00
_cell_angle_gamma 90.00
_symmetry_space_group_name_H-M 'P 1'
_symmetry_Int_Tables_number 1
_symmetry_space_group_name_Hall 'P 1'
loop_
_atom_site_label
_atom_site_fract_x
_atom_site_fract_y
_atom_site_fract_z
Mo1 0.500 0.500 0.500
Tc1 0.000 0.500 0.000
Tc2 0.500 0.000 0.000
W1 0.000 0.000 0.500
N1 0.000 0.000 0.000
# ΔE_f (raw) ... 0.013 eV per atom
# Theoretical density ... 11.97 g cm⁻³
# Size of the total moment ... 0.00 μB per formula unit
# Fermi-level density of states ... 3.13 states/eV/f.u.